# 1
Mn2BeCdS (PBE, optimized geometry); energy relative to the elements, uncorrected = 1.514 eV/atom; magnetization = 9.1 μB/cell
1.0
5.140 0.000 0.000
0.000 5.140 0.000
0.000 0.000 4.908
Mn Be Cd S
2 1 1 1
Direct
0.000 0.500 0.000
0.500 0.000 0.000
0.000 0.000 0.500
0.500 0.500 0.000
0.500 0.500 0.500

=====

# 2
ScMnBeCd2 (PBE, optimized geometry); calculated formation energy = 579 meV/atom; magnetization = 1.7 μB/cell
1.0
4.972 0.000 0.000
0.000 4.972 0.000
0.000 0.000 4.155
Sc Mn Be Cd
1 1 1 2
Direct
0.000 0.000 0.000
0.500 0.500 0.500
0.500 0.500 0.000
0.000 0.500 0.500
0.500 0.000 0.500

=====

# 3
MnBeZnCd2 (PBE, optimized geometry); calculated formation energy = 1076 meV/atom; magnetization = 3.4 μB/cell
1.0
5.118 0.000 0.000
0.000 5.118 0.000
0.000 0.000 4.745
Mn Be Zn Cd
1 1 1 2
Direct
0.000 0.000 0.000
0.500 0.500 0.500
0.000 0.000 0.500
0.000 0.500 0.000
0.500 0.000 0.000